Cd4SnSbC2 after structural relaxation. Source: OQMD, functional PBE-GGA.

Output
Its final energy is -22.46 eV/cell. The volume is 161.4 Å³ per cell.

Structure (CIF):
```
data_Cd4SnSbC2
_symmetry_space_group_name_H-M 'P -6 m 2'
_symmetry_Int_Tables_number 187
_symmetry_space_group_name_Hall 'P -6 2'
_cell_length_a 3.4447
_cell_length_b 3.4447
_cell_length_c 15.7065
_cell_angle_alpha 90.00
_cell_angle_beta 90.00
_cell_angle_gamma 120.00
loop_
_atom_site_label
_atom_site_fract_x
_atom_site_fract_y
_atom_site_fract_z
Cd1 0.0000 0.0000 0.1631
Cd2 0.6667 0.3333 0.3317
Sn1 0.0000 0.0000 0.5000
Sb1 0.6667 0.3333 0.0000
C1 0.3333 0.6667 0.2482
```

---

RbZrPtSe3 after structural relaxation. Source: OQMD, functional PBE-GGA.

Output
The value obtained for the magnetic moment is 0.03 Bohr magnetons per cell. Its final energy is -64.67 eV/cell. The volume is 321.6 Å³ per cell.

Structure (CIF):
```
data_RbZrPtSe3
_symmetry_space_group_name_H-M 'P 1 21/m 1'
_symmetry_Int_Tables_number 11
_cell_length_a 9.008
_cell_length_b 3.880
_cell_length_c 10.049
_cell_angle_alpha 90.00
_cell_angle_beta 113.67
_cell_angle_gamma 90.00
loop_
_symmetry_equiv_pos_as_xyz
'x,y,z'
'-x,-y,-z'
'-x,y+1/2,-z'
'x,-y+1/2,z'
loop_
_atom_site_label
_atom_site_fract_x
_atom_site_fract_y
_atom_site_fract_z
Rb1 0.230 0.250 0.251
Zr1 0.311 0.750 0.829
Pt1 0.110 0.250 0.583
Se1 0.110 0.250 0.845
Se2 0.263 0.750 0.550
Se3 0.456 0.750 0.131
```

---

BeNbSbTe after structural relaxation. Source: OQMD, functional PBE-GGA.

Output
The value obtained for the magnetic moment is 3.72 Bohr magnetons per cell. Its final energy is -70.88 eV/cell. The volume is 329.2 Å³ per cell.

Structure (CIF):
```
data_BeNbSbTe
_symmetry_space_group_name_H-M 'F -4 3 m'
_symmetry_Int_Tables_number 216
_symmetry_space_group_name_Hall 'F -4 2 3'
_cell_length_a 6.905
_cell_length_b 6.905
_cell_length_c 6.905
_cell_angle_alpha 90.00
_cell_angle_beta 90.00
_cell_angle_gamma 90.00
loop_
_atom_site_label
_atom_site_fract_x
_atom_site_fract_y
_atom_site_fract_z
Be1 0.000 0.000 0.000
Nb1 0.250 0.250 0.750
Sb1 0.000 0.000 0.500
Te1 0.250 0.250 0.250
```

---

ZrOsNO after structural relaxation. Source: OQMD, functional PBE-GGA.

Output
The value obtained for the magnetic moment is 0.31 Bohr magnetons per cell. Its final energy is -73.21 eV/cell. The volume is 112.3 Å³ per cell.

Structure (CIF):
```
data_ZrOsNO
_symmetry_space_group_name_H-M 'P m c 21'
_symmetry_Int_Tables_number 26
_cell_length_a 3.791
_cell_length_b 5.909
_cell_length_c 5.014
_cell_angle_alpha 90.00
_cell_angle_beta 90.00
_cell_angle_gamma 90.00
loop_
_symmetry_equiv_pos_as_xyz
'x,y,z'
'-x,-y,z+1/2'
'-x,y,z'
'x,-y,z+1/2'
loop_
_atom_site_label
_atom_site_fract_x
_atom_site_fract_y
_atom_site_fract_z
Zr1 0.000 0.228 0.000
Os1 0.500 0.410 0.455
N1 0.500 0.278 0.812
O1 0.000 0.116 0.382
```

---

LaNi4Sn2 after structural relaxation. Source: OQMD, functional PBE-GGA.

Output
The value obtained for the magnetic moment is 0.01 Bohr magnetons per cell. Its final energy is -153.34 eV/cell. The volume is 474.8 Å³ per cell.

Structure (CIF):
```
data_LaNi4Sn2
_symmetry_space_group_name_H-M 'I 4/m c m'
_symmetry_Int_Tables_number 140
_symmetry_space_group_name_Hall '-I 4 2c'
_cell_length_a 7.745
_cell_length_b 7.745
_cell_length_c 7.915
_cell_angle_alpha 90.00
_cell_angle_beta 90.00
_cell_angle_gamma 90.00
loop_
_atom_site_label
_atom_site_fract_x
_atom_site_fract_y
_atom_site_fract_z
La1 0.000 0.000 0.250
Ni1 0.138 0.362 0.164
Sn1 0.159 0.341 0.500
```

---

Cu2Ag3 after structural relaxation. Source: OQMD, functional PBE-GGA.

Output
The value obtained for the formation energy from the elements is 0.0816 eV/atom. The volume is 155.3 Å³ per cell.

Structure (CIF):
```
data_Cu2Ag3
_symmetry_space_group_name_H-M 'P 4/m m m'
_symmetry_Int_Tables_number 123
_symmetry_space_group_name_Hall '-P 4 2'
_cell_length_a 2.867
_cell_length_b 2.867
_cell_length_c 18.904
_cell_angle_alpha 90.00
_cell_angle_beta 90.00
_cell_angle_gamma 90.00
loop_
_atom_site_label
_atom_site_fract_x
_atom_site_fract_y
_atom_site_fract_z
Cu1 0.000 0.000 0.000
Cu2 0.000 0.000 0.195
Cu3 0.500 0.500 0.500
Ag1 0.000 0.000 0.405
Ag2 0.500 0.500 0.098
Ag3 0.500 0.500 0.292
```

---

NaZnB3H12 after structural relaxation. Source: OQMD, functional PBE-GGA.

Output
Its final energy is -261.99 eV/cell. The volume is 630.7 Å³ per cell.

Structure (CIF):
```
data_NaZnB3H12
_symmetry_space_group_name_H-M 'P 1 21/c 1'
_symmetry_Int_Tables_number 14
_cell_length_a 8.415
_cell_length_b 4.179
_cell_length_c 18.044
_cell_angle_alpha 90.00
_cell_angle_beta 96.36
_cell_angle_gamma 90.00
loop_
_symmetry_equiv_pos_as_xyz
'x,y,z'
'-x,-y,-z'
'-x,y+1/2,-z+1/2'
'x,-y+1/2,z+1/2'
loop_
_atom_site_label
_atom_site_fract_x
_atom_site_fract_y
_atom_site_fract_z
Na1 0.181 0.129 0.363
Zn1 0.277 0.550 0.608
B1 0.090 0.123 0.179
B2 0.222 0.545 0.486
B3 0.496 0.239 0.349
H1 0.053 0.657 0.335
H2 0.109 0.118 0.963
H3 0.117 0.669 0.674
H4 0.144 0.221 0.239
H5 0.152 0.211 0.632
H6 0.168 0.745 0.026
H7 0.293 0.684 0.441
H8 0.325 0.137 0.020
H9 0.377 0.590 0.156
H10 0.418 0.197 0.290
H11 0.442 0.144 0.405
H12 0.486 0.038 0.147
```

---

Li2TaIr after structural relaxation. Source: OQMD, functional PBE-GGA.

Output
The value obtained for the magnetic moment is 0.01 Bohr magnetons per cell. Its final energy is -100.80 eV/cell. The volume is 229.1 Å³ per cell.

Structure (CIF):
```
data_Li2TaIr
_symmetry_space_group_name_H-M 'F -4 3 m'
_symmetry_Int_Tables_number 216
_symmetry_space_group_name_Hall 'F -4 2 3'
_cell_length_a 6.119
_cell_length_b 6.119
_cell_length_c 6.119
_cell_angle_alpha 90.00
_cell_angle_beta 90.00
_cell_angle_gamma 90.00
loop_
_atom_site_label
_atom_site_fract_x
_atom_site_fract_y
_atom_site_fract_z
Li1 0.000 0.000 0.000
Li2 0.250 0.250 0.250
Ta1 0.000 0.000 0.500
Ir1 0.250 0.250 0.750
```

---

CdBiSbO after structural relaxation. Source: OQMD, functional PBE-GGA.

Output
Its final energy is -31.33 eV/cell. The volume is 179.9 Å³ per cell.

Structure (CIF):
```
data_CdBiSbO
_symmetry_space_group_name_H-M 'P 4/n m m'
_symmetry_Int_Tables_number 129
_cell_length_a 4.251
_cell_length_b 4.251
_cell_length_c 9.953
_cell_angle_alpha 90.00
_cell_angle_beta 90.00
_cell_angle_gamma 90.00
loop_
_symmetry_equiv_pos_as_xyz
'x,y,z'
'-x,-y,-z'
'-y+1/2,x,z'
'y+1/2,-x,-z'
'-x+1/2,-y+1/2,z'
'x+1/2,y+1/2,-z'
'y,-x+1/2,z'
'-y,x+1/2,-z'
'x+1/2,-y,-z'
'-x+1/2,y,z'
'-y,-x,-z'
'y,x,z'
'-x,y+1/2,-z'
'x,-y+1/2,z'
'y+1/2,x+1/2,-z'
'-y+1/2,-x+1/2,z'
loop_
_atom_site_label
_atom_site_fract_x
_atom_site_fract_y
_atom_site_fract_z
Cd1 0.250 0.750 0.000
Bi1 0.250 0.250 0.385
Sb1 0.250 0.250 0.796
O1 0.250 0.750 0.500
```

---

NbTlBi after structural relaxation. Source: OQMD, functional PBE-GGA.

Output
The value obtained for the magnetic moment is 8.14 Bohr magnetons per cell. Its final energy is -58.27 eV/cell. The volume is 340.0 Å³ per cell.

Structure (CIF):
```
data_NbTlBi
_symmetry_space_group_name_H-M 'F -4 3 m'
_symmetry_Int_Tables_number 216
_symmetry_space_group_name_Hall 'F -4 2 3'
_cell_length_a 6.979
_cell_length_b 6.979
_cell_length_c 6.979
_cell_angle_alpha 90.00
_cell_angle_beta 90.00
_cell_angle_gamma 90.00
loop_
_atom_site_label
_atom_site_fract_x
_atom_site_fract_y
_atom_site_fract_z
Nb1 0.000 0.000 0.000
Tl1 0.250 0.250 0.750
Bi1 0.250 0.250 0.250
```

---

TbAlInTe3 after structural relaxation. Source: OQMD, functional PBE-GGA.

Output
The value obtained for the magnetic moment is 0.01 Bohr magnetons per cell. Its final energy is -97.49 eV/cell. The volume is 767.0 Å³ per cell.

Structure (CIF):
```
data_TbAlInTe3
_symmetry_space_group_name_H-M 'C m c m'
_symmetry_Int_Tables_number 63
_symmetry_space_group_name_Hall '-C 2c 2'
_cell_length_a 4.438
_cell_length_b 15.063
_cell_length_c 11.474
_cell_angle_alpha 90.00
_cell_angle_beta 90.00
_cell_angle_gamma 90.00
loop_
_atom_site_label
_atom_site_fract_x
_atom_site_fract_y
_atom_site_fract_z
Tb1 0.000 0.000 0.000
Al1 0.000 0.468 0.250
In1 0.000 0.233 0.750
Te1 0.000 0.080 0.250
Te2 0.000 0.361 0.061
```